Entry 1:
Material: InNiHRh2
Method: DFT, GGA-PBE
State: relaxed

Lattice parameters (Å, degrees): 4.049 4.049 3.750 90.00 90.00 90.00
Space group P4/mmm (No. 123)
Asymmetric unit:
In  0.000  0.000  0.000 [1 per cell]
Ni  0.500  0.500  0.000 [1 per cell]
H  0.500  0.500  0.500 [1 per cell]
Rh  0.000  0.500  0.500 [2 per cell]

Output
- ρ (g/cm3) = 10.3
- total energy (eV per atom) = -5.50
- distance to the lowest polymorph of the same formula (eV/atom) = 0.000



Entry 2:
Material: Tc2Sb
Method: DFT, GGA-PBE
State: relaxed

Lattice parameters (Å, degrees): 6.139 6.139 6.139 90.00 90.00 90.00
Space group Fm-3m (No. 225)
Asymmetric unit:
Tc  0.250  0.250  0.250 [8 per cell]
Sb  0.000  0.000  0.000 [4 per cell]

Output
- E_form (uncorrected) (eV per atom) = 0.754
- ρ (g/cm3) = 9.1
- total energy (eV per atom) = -7.53
- distance to the lowest polymorph of the same formula (eV/atom) = 0.648



Entry 3:
Material: CeNi2Ge
Method: DFT, GGA-PBE
State: relaxed

Lattice parameters (Å, degrees): 4.0909 4.0909 14.0656 90.00 90.00 120.00
Space group R-3m (No. 166, hexagonal axes)
Asymmetric unit:
Ce  0.0000  0.0000  0.0000 [3 per cell]
Ni  0.0000  0.0000  0.2071 [6 per cell]
Ge  0.0000  0.0000  0.5000 [3 per cell]

Output
- ρ (g/cm3) = 8.1
- total energy (eV per atom) = -6.07
- energy relative to the elements (eV per atom) = -0.539